Density functional theory data (PBE) for a relaxed structure of Ce2Y2Ru3.

Properties
Uncorrected energy   -7.859 eV per atom
Energy of formation   -0.3413 eV/atom
Crystal system   triclinic
D(E_F)   0.603 states/eV per atom
Total magnetization   0.00 Bohr magnetons per cell

CIF file:
```
data_Ce2Y2Ru3
_cell_length_a 4.649
_cell_length_b 4.644
_cell_length_c 8.558
_cell_angle_alpha 103.11
_cell_angle_beta 95.19
_cell_angle_gamma 114.71
_space_group_name_H-M_alt 'P 1'
_space_group_IT_number 1
loop_
_space_group_symop_operation_xyz
'x,y,z'
loop_
_atom_site_label
_atom_site_type_symbol
_atom_site_fract_x
_atom_site_fract_y
_atom_site_fract_z
Ru1 Ru 0.725 0.507 0.232
Ru2 Ru 0.000 0.000 0.000
Ru3 Ru 0.275 0.493 0.768
Ce1 Ce 0.619 0.244 0.863
Ce2 Ce 0.381 0.756 0.137
Y1 Y 0.871 0.749 0.619
Y2 Y 0.129 0.251 0.381
```